[1]
# PBE BaTa2Mo, relaxed
data_BaTa2Mo
_cell_length_a 3.2550
_cell_length_b 4.9840
_cell_length_c 5.0787
_cell_angle_alpha 90.00
_cell_angle_beta 90.00
_cell_angle_gamma 90.00
_symmetry_space_group_name_H-M 'P 1'
_symmetry_Int_Tables_number 1
loop_
_symmetry_equiv_pos_as_xyz
'x,y,z'
loop_
_atom_site_label
_atom_site_fract_x
_atom_site_fract_y
_atom_site_fract_z
_atom_site_occupancy
Ba1 0.5000 0.0000 0.5000 1
Mo1 0.0000 0.5000 0.5000 1
Ta1 0.0000 0.0000 0.0000 1
Ta2 0.5000 0.5000 0.0000 1
# E: -7.890 eV per atom
# Space group: Pmmm, No. 47
# Calculated density: 11.995 Mg/m³
# Formation enthalpy at 0 K: 1.225 eV/atom
# DOS at the Fermi energy: 1.208 states/eV/atom

---

[2]
# PBE LiCaY2Ni, relaxed
data_LiCaY2Ni
_cell_length_a 5.2461
_cell_length_b 5.2461
_cell_length_c 5.1684
_cell_angle_alpha 90.00
_cell_angle_beta 90.00
_cell_angle_gamma 90.00
_symmetry_space_group_name_H-M 'P 1'
_symmetry_Int_Tables_number 1
loop_
_symmetry_equiv_pos_as_xyz
'x,y,z'
loop_
_atom_site_label
_atom_site_fract_x
_atom_site_fract_y
_atom_site_fract_z
_atom_site_occupancy
Y1 0.0000 0.5000 0.0000 1
Y2 0.5000 0.0000 0.0000 1
Ni1 0.0000 0.0000 0.0000 1
Ca1 0.5000 0.5000 0.5000 1
Li1 0.0000 0.0000 0.5000 1
# E: -4.508 eV per atom
# Space group: P4/mmm, No. 123
# Calculated density: 3.310 Mg/m³
# Formation enthalpy at 0 K: 0.017 eV/atom
# DOS at the Fermi energy: 0.641 states/eV/atom

---

[3]
# PBE RuPbN2F, relaxed
data_RuPbN2F
_cell_length_a 4.3066
_cell_length_b 4.3558
_cell_length_c 4.3066
_cell_angle_alpha 90.00
_cell_angle_beta 90.00
_cell_angle_gamma 90.00
_symmetry_space_group_name_H-M 'P 1'
_symmetry_Int_Tables_number 1
loop_
_symmetry_equiv_pos_as_xyz
'x,y,z'
loop_
_atom_site_label
_atom_site_fract_x
_atom_site_fract_y
_atom_site_fract_z
_atom_site_occupancy
Pb1 0.0000 0.0000 0.0000 1
Ru1 0.5000 0.5000 0.5000 1
N1 0.0000 0.0000 0.5000 1
N2 0.5000 0.0000 0.0000 1
F1 0.0000 0.5000 0.0000 1
# E: -4.772 eV per atom
# Space group: P4/mmm, No. 123
# Uncorrected formation energy: 1.53 eV per atom
# Calculated density: 7.303 Mg/m³
# DOS at the Fermi energy: 0.506 states/eV/atom

---

[4]
# PBE Ta4NiAs, relaxed
data_Ta4NiAs
_cell_length_a 5.4070
_cell_length_b 5.4070
_cell_length_c 5.4070
_cell_angle_alpha 60.00
_cell_angle_beta 60.00
_cell_angle_gamma 60.00
_symmetry_space_group_name_H-M 'P 1'
_symmetry_Int_Tables_number 1
loop_
_symmetry_equiv_pos_as_xyz
'x,y,z'
loop_
_atom_site_label
_atom_site_fract_x
_atom_site_fract_y
_atom_site_fract_z
_atom_site_occupancy
Ta1 0.8762 0.3746 0.3746 1
Ta2 0.3746 0.3746 0.8762 1
Ta3 0.3746 0.8762 0.3746 1
Ta4 0.3746 0.3746 0.3746 1
Ni1 0.0000 0.0000 0.0000 1
As1 0.7500 0.7500 0.7500 1
# E: -8.964 eV per atom
# Space group: F-43m, No. 216
# Calculated density: 12.737 Mg/m³
# Formation enthalpy at 0 K: 0.677 eV/atom
# DOS at the Fermi energy: 1.191 states/eV/atom

---

[5]
# PBE Tb3MgSi2Pt9, relaxed
data_Tb3MgSi2Pt9
_cell_length_a 5.6800
_cell_length_b 5.6800
_cell_length_c 10.8087
_cell_angle_alpha 90.00
_cell_angle_beta 90.00
_cell_angle_gamma 120.00
_symmetry_space_group_name_H-M 'P 1'
_symmetry_Int_Tables_number 1
loop_
_symmetry_equiv_pos_as_xyz
'x,y,z'
loop_
_atom_site_label
_atom_site_fract_x
_atom_site_fract_y
_atom_site_fract_z
_atom_site_occupancy
Tb1 0.3333 0.6667 0.5909 1
Tb2 0.0000 0.0000 0.0000 1
Tb3 0.6667 0.3333 0.4091 1
Mg1 0.0000 0.0000 0.5000 1
Si1 0.3333 0.6667 0.1612 1
Si2 0.6667 0.3333 0.8388 1
Pt1 0.8374 0.1626 0.6868 1
Pt2 0.8374 0.6748 0.6868 1
Pt3 0.3252 0.1626 0.6868 1
Pt4 0.6748 0.8374 0.3132 1
Pt5 0.1626 0.3252 0.3132 1
Pt6 0.1626 0.8374 0.3132 1
Pt7 0.5000 0.0000 0.0000 1
Pt8 0.0000 0.5000 0.0000 1
Pt9 0.5000 0.5000 0.0000 1
# E: -6.216 eV per atom
# Space group: P-3m1, No. 164
# Uncorrected formation energy: -0.84 eV per atom
# Calculated density: 12.718 Mg/m³
# DOS at the Fermi energy: 0.352 states/eV/atom

---

[6]
# PBE Pr8Tl2Cd, relaxed
data_Pr8Tl2Cd
_cell_length_a 5.4395
_cell_length_b 7.1180
_cell_length_c 10.2223
_cell_angle_alpha 105.89
_cell_angle_beta 105.43
_cell_angle_gamma 90.00
_symmetry_space_group_name_H-M 'P 1'
_symmetry_Int_Tables_number 1
loop_
_symmetry_equiv_pos_as_xyz
'x,y,z'
loop_
_atom_site_label
_atom_site_fract_x
_atom_site_fract_y
_atom_site_fract_z
_atom_site_occupancy
Pr1 0.4073 0.5256 0.8145 1
Pr2 0.6595 0.9848 0.3191 1
Pr3 0.7951 0.6849 0.5902 1
Pr4 0.9881 0.2348 0.9763 1
Pr5 0.2049 0.3151 0.4098 1
Pr6 0.3405 0.0152 0.6809 1
Pr7 0.5927 0.4744 0.1855 1
Pr8 0.0119 0.7652 0.0237 1
Tl1 0.8227 0.2566 0.6453 1
Tl2 0.1773 0.7434 0.3547 1
Cd1 0.5000 0.0000 0.0000 1
# E: -4.142 eV per atom
# Space group: C2/m, No. 12
# Calculated density: 7.483 Mg/m³
# Formation enthalpy at 0 K: -0.153 eV/atom
# DOS at the Fermi energy: 1.193 states/eV/atom

---

[7]
# PBE LaTb2PmDy5, relaxed
data_LaTb2PmDy5
_cell_length_a 8.8267
_cell_length_b 8.8267
_cell_length_c 9.8623
_cell_angle_alpha 116.58
_cell_angle_beta 116.58
_cell_angle_gamma 90.00
_symmetry_space_group_name_H-M 'P 1'
_symmetry_Int_Tables_number 1
loop_
_symmetry_equiv_pos_as_xyz
'x,y,z'
loop_
_atom_site_label
_atom_site_fract_x
_atom_site_fract_y
_atom_site_fract_z
_atom_site_occupancy
La1 0.2500 0.2500 0.5000 1
La2 0.7500 0.7500 0.5000 1
Tb1 0.1159 0.3841 0.0000 1
Tb2 0.6159 0.1159 0.0000 1
Tb3 0.3841 0.8841 0.0000 1
Tb4 0.8841 0.6159 0.0000 1
Pm1 0.2500 0.7500 0.5000 1
Pm2 0.7500 0.2500 0.5000 1
Dy1 0.9285 0.4285 0.2652 1
Dy2 0.6633 0.1633 0.7348 1
Dy3 0.0715 0.5715 0.7348 1
Dy4 0.1633 0.0715 0.7348 1
Dy5 0.5715 0.6633 0.7348 1
Dy6 0.8367 0.9285 0.2652 1
Dy7 0.4285 0.3367 0.2652 1
Dy8 0.3367 0.8367 0.2652 1
Dy9 0.5000 0.5000 0.0000 1
Dy10 0.0000 0.0000 0.0000 1
# E: -4.392 eV per atom
# Space group: I4/mcm, No. 140
# Calculated density: 7.895 Mg/m³
# Formation enthalpy at 0 K: 0.269 eV/atom
# DOS at the Fermi energy: 1.213 states/eV/atom

---

[8]
# PBE Rb2SrReO4, relaxed
data_Rb2SrReO4
_cell_length_a 5.9885
_cell_length_b 5.9885
_cell_length_c 5.9885
_cell_angle_alpha 99.19
_cell_angle_beta 114.84
_cell_angle_gamma 114.84
_symmetry_space_group_name_H-M 'P 1'
_symmetry_Int_Tables_number 1
loop_
_symmetry_equiv_pos_as_xyz
'x,y,z'
loop_
_atom_site_label
_atom_site_fract_x
_atom_site_fract_y
_atom_site_fract_z
_atom_site_occupancy
Rb1 0.5000 0.7500 0.2500 1
Rb2 0.0000 0.0000 0.0000 1
Sr1 0.5000 0.2500 0.7500 1
Re1 0.0000 0.5000 0.5000 1
O1 0.6029 0.2980 0.3969 1
O2 0.0989 0.3049 0.7020 1
O3 0.9011 0.6031 0.2060 1
O4 0.3971 0.7940 0.6951 1
# E: -6.207 eV per atom
# Space group: I-4, No. 82
# Uncorrected formation energy: -1.72 eV per atom
# Calculated density: 5.233 Mg/m³
# DOS at the Fermi energy: 0.701 states/eV/atom

---

[9]
# PBE KPr2PuTe4, relaxed
data_KPr2PuTe4
_cell_length_a 4.5414
_cell_length_b 8.0071
_cell_length_c 7.9749
_cell_angle_alpha 71.15
_cell_angle_beta 90.00
_cell_angle_gamma 90.00
_symmetry_space_group_name_H-M 'P 1'
_symmetry_Int_Tables_number 1
loop_
_symmetry_equiv_pos_as_xyz
'x,y,z'
loop_
_atom_site_label
_atom_site_fract_x
_atom_site_fract_y
_atom_site_fract_z
_atom_site_occupancy
K1 0.0000 0.5000 0.5000 1
Pr1 0.0000 0.0000 0.0000 1
Pr2 0.5000 0.0000 0.5000 1
Pu1 0.5000 0.5000 0.0000 1
Te1 0.0000 0.7501 0.7578 1
Te2 0.0000 0.2499 0.2422 1
Te3 0.5000 0.7601 0.2381 1
Te4 0.5000 0.2399 0.7619 1
# E: -5.996 eV per atom
# Space group: P2/m, No. 10
# Uncorrected formation energy: -1.30 eV per atom
# Calculated density: 6.507 Mg/m³
# DOS at the Fermi energy: 2.114 states/eV/atom

---

[10]
# PBE TaCd2Os, relaxed
data_TaCd2Os
_cell_length_a 10.1539
_cell_length_b 10.1539
_cell_length_c 10.1539
_cell_angle_alpha 16.58
_cell_angle_beta 16.58
_cell_angle_gamma 16.58
_symmetry_space_group_name_H-M 'P 1'
_symmetry_Int_Tables_number 1
loop_
_symmetry_equiv_pos_as_xyz
'x,y,z'
loop_
_atom_site_label
_atom_site_fract_x
_atom_site_fract_y
_atom_site_fract_z
_atom_site_occupancy
Cd1 0.0039 0.0039 0.0039 1
Cd2 0.2432 0.2432 0.2432 1
Os1 0.4948 0.4948 0.4948 1
Ta1 0.7581 0.7581 0.7581 1
# E: -6.010 eV per atom
# Space group: R3m, No. 160
# Calculated density: 13.307 Mg/m³
# Formation enthalpy at 0 K: 0.218 eV/atom
# DOS at the Fermi energy: 0.620 states/eV/atom

---

[11]
# PBE NaSe3F, relaxed
data_NaSe3F
_cell_length_a 4.7387
_cell_length_b 4.7387
_cell_length_c 4.7387
_cell_angle_alpha 90.00
_cell_angle_beta 90.00
_cell_angle_gamma 90.00
_symmetry_space_group_name_H-M 'P 1'
_symmetry_Int_Tables_number 1
loop_
_symmetry_equiv_pos_as_xyz
'x,y,z'
loop_
_atom_site_label
_atom_site_fract_x
_atom_site_fract_y
_atom_site_fract_z
_atom_site_occupancy
Na1 0.5000 0.5000 0.5000 1
Se1 0.0000 0.5000 0.0000 1
Se2 0.0000 0.0000 0.5000 1
Se3 0.5000 0.0000 0.0000 1
F1 0.0000 0.0000 0.0000 1
# E: -2.798 eV per atom
# Space group: Pm-3m, No. 221
# Uncorrected formation energy: -0.07 eV per atom
# Calculated density: 4.352 Mg/m³
# DOS at the Fermi energy: 0.470 states/eV/atom

---

Q: Which formula does entry 5 have?
A: Tb3MgSi2Pt9

---

Q: Look up the E of the first one.
A: -7.890 eV per atom